(1)
! Ta2Ir | Alexandria | PBE | relaxed; values from VASP
! Space-group type   Imma
! Magnetic moment   0.00 μB per cell
! Raw total energy   -10.688 eV per atom
&SYSTEM
  ibrav = 0, nat = 12, ntyp = 2
/
ATOMIC_SPECIES
Ta 180.95 Ta.upf
Ir 192.22 Ir.upf
CELL_PARAMETERS angstrom
-1.7369 2.2213 -0.0571
-2.8109 -2.2352 -1.4471
-6.2643 -4.4104 18.9804
ATOMIC_POSITIONS angstrom
Ta -3.5180 -0.8188 5.5086
Ta -8.0454 -5.8565 16.9042
Ta -7.2940 -3.6054 11.9677
Ta -1.8880 -1.3933 3.2295
Ta -1.0297 -0.7890 0.6291
Ta -4.3763 -1.4231 8.1090
Ta -7.1872 -5.2522 14.3038
Ta -6.4358 -3.0011 9.3672
Ir -4.5742 -3.2845 11.3685
Ir -4.5010 -3.3610 6.1648
Ir -7.0961 -3.3380 16.3500
Ir -3.7159 -1.0862 1.1262

=====

(2)
! K2LiVB | Alexandria | PBE | relaxed; values from VASP
! Space-group type   P4/mmm
! Magnetic moment   1.30 μB per cell
! Raw total energy   -2.263 eV per atom
&SYSTEM
  ibrav = 0, nat = 5, ntyp = 4
/
ATOMIC_SPECIES
V 50.94 V.upf
B 10.81 B.upf
K 39.10 K.upf
Li 6.94 Li.upf
CELL_PARAMETERS angstrom
6.0680 0.0000 0.0000
0.0000 4.1406 0.0000
0.0000 0.0000 6.0680
ATOMIC_POSITIONS angstrom
V 3.0340 2.0703 3.0340
B 0.0000 2.0703 0.0000
K 0.0000 0.0000 3.0340
K 3.0340 0.0000 0.0000
Li 0.0000 0.0000 0.0000

=====

(3)
! Sr2LiCaPd | Alexandria | PBE | relaxed; values from VASP
! Energy above the most stable polymorph in this dataset   0 meV/atom
! Space-group type   P4/mmm
! Magnetic moment   0.00 μB per cell
&SYSTEM
  ibrav = 0, nat = 5, ntyp = 4
/
ATOMIC_SPECIES
Sr 87.62 Sr.upf
Ca 40.08 Ca.upf
Pd 106.42 Pd.upf
Li 6.94 Li.upf
CELL_PARAMETERS angstrom
-2.8780 -4.7589 -2.1909
5.2388 -2.6371 -1.1537
-0.0453 -2.3347 5.1307
ATOMIC_POSITIONS angstrom
Sr 2.6194 -1.3185 -0.5769
Sr -1.4390 -2.3794 -1.0955
Ca -0.0227 -1.1674 2.5654
Pd 0.0000 0.0000 0.0000
Li 1.1577 -4.8653 0.8930

=====

(4)
! Sc8CN3 | Alexandria | PBE | relaxed; values from VASP
! Uncorrected formation energy   -1.0872 eV/atom
! Space-group type   R-3m
! Magnetic moment   0.00 μB per cell
&SYSTEM
  ibrav = 0, nat = 12, ntyp = 3
/
ATOMIC_SPECIES
N 14.01 N.upf
Sc 44.96 Sc.upf
C 12.01 C.upf
CELL_PARAMETERS angstrom
-5.2801 -2.2858 -3.0421
5.0904 -3.9130 1.0670
-3.7368 1.9251 5.0394
ATOMIC_POSITIONS angstrom
N 2.5452 -1.9565 0.5335
N -0.0949 -3.0994 -0.9876
N -2.6401 -1.1429 -1.5211
Sc -1.6254 -1.1172 3.6606
Sc 2.8716 -3.9712 1.4637
Sc -4.2652 -2.2494 2.1311
Sc 0.2444 -5.1085 -0.0499
Sc -6.7982 -0.3025 1.6005
Sc 0.3387 -2.0243 0.9332
Sc -2.3012 -3.1565 -0.5963
Sc -4.1710 0.8348 3.1142
C 0.0000 0.0000 0.0000

=====

(5)
! NbSiH | Alexandria | PBE | relaxed; values from VASP
! Energy above the most stable polymorph in this dataset   0 meV/atom
! Space-group type   P3m1
! Magnetic moment   0.00 μB per cell
&SYSTEM
  ibrav = 0, nat = 3, ntyp = 3
/
ATOMIC_SPECIES
H 1.01 H.upf
Si 28.09 Si.upf
Nb 92.91 Nb.upf
CELL_PARAMETERS angstrom
-3.0277 -0.5906 -1.6804
-1.6268 -0.2072 3.0039
0.2902 3.0197 -1.5842
ATOMIC_POSITIONS angstrom
H -0.4577 -0.0893 -0.2540
Si -2.3890 1.5462 -1.1872
Nb -1.5176 0.7651 1.1805

=====

(6)
! Sc2MnRe | Alexandria | PBE | relaxed; values from VASP
! Space-group type   R3m
! Magnetic moment   0.00 μB per cell
! Raw total energy   -8.289 eV per atom
&SYSTEM
  ibrav = 0, nat = 4, ntyp = 3
/
ATOMIC_SPECIES
Mn 54.94 Mn.upf
Sc 44.96 Sc.upf
Re 186.21 Re.upf
CELL_PARAMETERS angstrom
-7.3065 2.6798 -4.9249
-7.0285 -0.1352 -5.9500
-8.5470 0.3969 -3.4077
ATOMIC_POSITIONS angstrom
Mn -11.2537 1.4467 -7.0243
Sc -5.3961 0.6937 -3.3682
Sc -0.2537 0.0326 -0.1583
Re -17.4195 2.2393 -10.8729

=====

(7)
! NaAg2AsS4 | Alexandria | PBE | relaxed; values from VASP
! Uncorrected formation energy   -0.3126 eV/atom
! Space-group type   Fmm2
! Magnetic moment   0.00 μB per cell
&SYSTEM
  ibrav = 0, nat = 8, ntyp = 4
/
ATOMIC_SPECIES
S 32.06 S.upf
As 74.92 As.upf
Na 22.99 Na.upf
Ag 107.87 Ag.upf
CELL_PARAMETERS angstrom
6.1862 0.2541 0.0000
-0.2599 6.1860 0.0000
-2.9631 -3.2200 5.0666
ATOMIC_POSITIONS angstrom
S 4.3023 1.9877 1.2611
S 1.6240 4.4524 1.2611
S -1.2327 -1.3396 3.8035
S 1.2327 1.3395 3.8035
As 0.0000 0.0000 5.0654
Na 0.0000 0.0000 0.0071
Ag 3.0931 0.1270 2.5338
Ag -0.1300 3.0930 2.5338

=====

(8)
! VCu3S4 | Alexandria | PBE | relaxed; values from VASP
! Uncorrected formation energy   -0.6103 eV/atom
! Energy above the most stable polymorph in this dataset   0 meV/atom
! Space-group type   P-43m
! Magnetic moment   0.00 μB per cell
&SYSTEM
  ibrav = 0, nat = 8, ntyp = 3
/
ATOMIC_SPECIES
S 32.06 S.upf
V 50.94 V.upf
Cu 63.55 Cu.upf
CELL_PARAMETERS angstrom
5.4218 0.0000 0.0000
0.0000 5.4218 0.0000
0.0000 0.0000 5.4218
ATOMIC_POSITIONS angstrom
S 4.1403 1.2815 4.1403
S 1.2815 1.2815 1.2815
S 1.2815 4.1403 4.1403
S 4.1403 4.1403 1.2815
V 0.0000 0.0000 0.0000
Cu 0.0000 2.7109 0.0000
Cu 2.7109 0.0000 0.0000
Cu 0.0000 0.0000 2.7109

=====

(9)
! Fe3GeMo | Alexandria | PBE | relaxed; values from VASP
! Space-group type   Pm-3m
! Magnetic moment   5.20 μB per cell
! Raw total energy   -6.687 eV per atom
&SYSTEM
  ibrav = 0, nat = 5, ntyp = 3
/
ATOMIC_SPECIES
Ge 72.64 Ge.upf
Fe 55.84 Fe.upf
Mo 95.94 Mo.upf
CELL_PARAMETERS angstrom
-2.7741 0.4027 3.4974
2.1704 -3.3102 2.1027
2.7718 2.9949 1.8538
ATOMIC_POSITIONS angstrom
Ge 1.0841 0.0437 3.7269
Fe 1.0852 -1.6551 1.0513
Fe -1.3870 0.2013 1.7487
Fe 1.3859 1.4975 0.9269
Mo 0.0000 0.0000 0.0000

=====

(10)
! CsKO2F | Alexandria | PBE | relaxed; values from VASP
! Uncorrected formation energy   -0.6644 eV/atom
! Space-group type   P4/mmm
! Magnetic moment   0.00 μB per cell
&SYSTEM
  ibrav = 0, nat = 5, ntyp = 4
/
ATOMIC_SPECIES
O 16.00 O.upf
K 39.10 K.upf
Cs 132.91 Cs.upf
F 19.00 F.upf
CELL_PARAMETERS angstrom
4.4022 0.0000 0.0000
0.0000 4.4022 0.0000
0.0000 0.0000 5.4756
ATOMIC_POSITIONS angstrom
O 2.2011 0.0000 0.0000
O 0.0000 2.2011 0.0000
K 2.2011 2.2011 2.7378
Cs 0.0000 0.0000 0.0000
F 0.0000 0.0000 2.7378

=====

(11)
! Dy3TiTl3S8 | Alexandria | PBE | relaxed; values from VASP
! Uncorrected formation energy   -1.4248 eV/atom
! Space-group type   R-3m
! Magnetic moment   0.00 μB per cell
&SYSTEM
  ibrav = 0, nat = 15, ntyp = 4
/
ATOMIC_SPECIES
Dy 162.50 Dy.upf
S 32.06 S.upf
Tl 204.38 Tl.upf
Ti 47.87 Ti.upf
CELL_PARAMETERS angstrom
-5.6631 -1.6797 5.1059
6.8524 -3.7201 0.4067
-0.0528 8.3975 2.7042
ATOMIC_POSITIONS angstrom
Dy 0.5683 1.4989 4.1084
Dy -2.8579 3.3589 3.9051
Dy 3.3998 2.3387 1.5554
S 5.4105 1.7913 3.3500
S -1.1999 2.1181 2.0952
S 2.1290 0.0893 2.3909
S -0.9924 2.9084 5.8259
S -4.2739 1.2064 4.8668
S 2.3365 0.8796 6.1216
S -0.5546 -0.8130 5.0872
S 1.6912 3.8107 3.1295
Tl 0.0000 0.0000 0.0000
Tl 0.5947 -2.6999 2.7563
Tl 3.4262 -1.8600 0.2033
Ti -0.0264 4.1988 1.3521

=====

(12)
! Ba2Ga3HgAu4 | Alexandria | PBE | relaxed; values from VASP
! Space-group type   P-4m2
! Magnetic moment   0.00 μB per cell
! Raw total energy   -3.171 eV per atom
&SYSTEM
  ibrav = 0, nat = 10, ntyp = 4
/
ATOMIC_SPECIES
Au 196.97 Au.upf
Ga 69.72 Ga.upf
Ba 137.33 Ba.upf
Hg 200.59 Hg.upf
CELL_PARAMETERS angstrom
-1.5148 3.4011 3.0066
-3.4662 -2.9133 1.5492
6.6166 -3.8085 7.6419
ATOMIC_POSITIONS angstrom
Au 3.5208 -0.7620 6.4445
Au -2.4905 0.2439 2.2779
Au 0.6053 -2.8026 3.4753
Au 0.0000 0.0000 0.0000
Ga -0.9973 -1.8802 1.6244
Ga 5.1234 -1.6844 8.2954
Ga 3.3083 -1.9043 3.8209
Ba 3.2526 -4.3264 6.5328
Ba 0.8736 0.7618 3.3870
Hg 0.8178 -1.6604 6.0988

=====

(13)
! Cs4TaO5 | Alexandria | PBE | relaxed; values from VASP
! Uncorrected formation energy   -1.8841 eV/atom
! Energy above the most stable polymorph in this dataset   0 meV/atom
! Space-group type   I4
! Magnetic moment   1.01 μB per cell
&SYSTEM
  ibrav = 0, nat = 10, ntyp = 3
/
ATOMIC_SPECIES
Cs 132.91 Cs.upf
O 16.00 O.upf
Ta 180.95 Ta.upf
CELL_PARAMETERS angstrom
6.2844 0.0000 0.0000
3.1422 6.3491 0.0000
3.1422 0.0000 6.3491
ATOMIC_POSITIONS angstrom
Cs 6.4467 2.5180 5.1226
Cs 3.3044 1.2265 2.5180
Cs 6.4467 3.8310 1.2265
Cs 9.5889 5.1226 3.8310
O 2.3089 0.0000 0.0000
O 3.0942 4.6319 0.8580
O 9.3786 1.7171 5.4911
O 6.2364 0.8580 1.7171
O 6.2364 5.4911 4.6319
Ta 0.4413 0.0000 0.0000

=====

(14)
! UTiTl2O6 | Alexandria | PBE | relaxed; values from VASP
! Uncorrected formation energy   -2.3076 eV/atom
! Space-group type   Pmmn
! Magnetic moment   0.10 μB per cell
&SYSTEM
  ibrav = 0, nat = 20, ntyp = 4
/
ATOMIC_SPECIES
Tl 204.38 Tl.upf
O 16.00 O.upf
Ti 47.87 Ti.upf
U 238.03 U.upf
CELL_PARAMETERS angstrom
5.9106 0.0000 0.0000
0.0000 5.9158 0.0000
0.0000 0.0000 8.2617
ATOMIC_POSITIONS angstrom
Tl 2.9553 4.4805 6.1937
Tl 0.0000 1.4352 6.1988
Tl 2.9553 4.4805 2.0680
Tl 0.0000 1.4352 2.0629
O 0.0000 4.4618 6.1334
O 1.4792 0.0363 4.1308
O 4.4313 0.0363 4.1308
O 0.0000 4.4618 2.1282
O 4.4944 3.0453 4.1308
O 2.9553 1.4540 6.2591
O 1.5391 2.8705 0.0000
O 1.4761 5.8794 0.0000
O 2.9553 1.4540 2.0026
O 1.4162 3.0453 4.1308
O 4.4345 5.8794 0.0000
O 4.3715 2.8705 0.0000
Ti 2.9553 1.6015 0.0000
Ti 0.0000 4.3143 4.1308
U 0.0000 4.4479 0.0000
U 2.9553 1.4678 4.1308

=====

(15)
! SrLi2Se2 | Alexandria | PBE | relaxed; values from VASP
! Uncorrected formation energy   -1.1980 eV/atom
! Energy above the most stable polymorph in this dataset   6 meV/atom
! Space-group type   P4/mbm
! Magnetic moment   0.00 μB per cell
&SYSTEM
  ibrav = 0, nat = 10, ntyp = 3
/
ATOMIC_SPECIES
Sr 87.62 Sr.upf
Li 6.94 Li.upf
Se 78.96 Se.upf
CELL_PARAMETERS angstrom
7.5980 0.0000 0.0000
0.0000 7.5980 0.0000
0.0000 0.0000 3.6117
ATOMIC_POSITIONS angstrom
Sr 3.7990 3.7990 0.0000
Sr 0.0000 0.0000 0.0000
Li 0.8723 2.9267 0.0000
Li 6.7257 4.6713 0.0000
Li 2.9267 6.7257 0.0000
Li 4.6713 0.8723 0.0000
Se 1.4025 5.2015 1.8058
Se 6.1956 2.3965 1.8058
Se 5.2015 6.1956 1.8058
Se 2.3965 1.4025 1.8058

=====

(16)
! Na2NiGe6 | Alexandria | PBE | relaxed; values from VASP
! Space-group type   P-3m1
! Magnetic moment   0.00 μB per cell
! Raw total energy   -4.065 eV per atom
&SYSTEM
  ibrav = 0, nat = 9, ntyp = 3
/
ATOMIC_SPECIES
Ge 72.64 Ge.upf
Na 22.99 Na.upf
Ni 58.69 Ni.upf
CELL_PARAMETERS angstrom
-5.2430 -2.2074 0.4733
0.7255 -0.4897 5.8097
-1.5497 4.4273 3.5378
ATOMIC_POSITIONS angstrom
Ge -4.4999 1.3370 3.6527
Ge -2.6899 2.8190 5.0474
Ge -2.3363 2.5777 7.9186
Ge -3.3774 -1.0888 4.7735
Ge -1.5673 0.3932 6.1682
Ge -3.7310 -0.8475 1.9023
Na -1.0237 0.9966 3.1821
Na -5.0435 0.7336 6.6388
Ni 0.0000 0.0000 0.0000

=====

(17)
! CoAuBr2 | Alexandria | PBE | relaxed; values from VASP
! Uncorrected formation energy   0.0394 eV/atom
! Energy above the most stable polymorph in this dataset   0 meV/atom
! Space-group type   R3m
! Magnetic moment   0.00 μB per cell
&SYSTEM
  ibrav = 0, nat = 4, ntyp = 3
/
ATOMIC_SPECIES
Br 79.90 Br.upf
Au 196.97 Au.upf
Co 58.93 Co.upf
CELL_PARAMETERS angstrom
8.3017 -0.0174 -0.0104
7.5267 3.5024 -0.0104
7.5267 1.6572 3.0856
ATOMIC_POSITIONS angstrom
Br 4.9426 1.0882 0.6486
Br 0.5996 0.1320 0.0787
Au 17.8975 3.9406 2.3487
Co 11.5931 2.5525 1.5213

=====

(18)
! KCa2P4H9O17 | Alexandria | PBE | relaxed; values from VASP
! Space-group type   P2_1/c
! Magnetic moment   0.01 μB per cell
! Raw total energy   -6.219 eV per atom
&SYSTEM
  ibrav = 0, nat = 132, ntyp = 5
/
ATOMIC_SPECIES
O 16.00 O.upf
H 1.01 H.upf
P 30.97 P.upf
Ca 40.08 Ca.upf
K 39.10 K.upf
CELL_PARAMETERS angstrom
-5.3203 -4.5078 2.6920
7.0648 -4.1266 6.8196
-4.7573 13.4001 13.0370
ATOMIC_POSITIONS angstrom
O 2.8048 -3.8792 9.0323
O 3.5397 1.8993 14.0769
O 1.8783 -0.9356 10.1253
O -0.7343 0.9990 3.4490
O -5.1607 11.2027 13.5581
O -0.6596 -1.0717 10.3904
O 0.4929 1.1140 10.4923
O 1.8640 -3.2073 4.4410
O -2.4292 -1.1397 13.1336
O -2.4398 1.6784 13.2480
O -4.8768 7.9729 18.1076
O 1.2467 7.8989 18.0667
O -6.9317 6.5984 14.6542
O -3.0734 8.2836 12.1037
O -2.3532 5.8374 12.1582
O -1.4380 7.4581 13.9104
O -0.5113 -2.9718 13.7538
O 1.4132 5.9109 12.7349
O -4.1250 1.3576 10.2289
O 2.6807 4.3096 14.1275
O 0.1127 4.3893 14.3834
O -4.2595 -3.1332 4.4818
O -3.5057 3.6517 12.0563
O -2.6774 2.2737 4.5137
O -4.4260 -1.1453 9.8137
O -5.8176 8.6448 13.5163
O 0.8543 7.1514 15.7126
O -3.3091 4.8755 14.3177
O -4.8680 6.8299 9.2626
O 1.7758 -2.9499 6.9858
O -0.5836 5.9053 9.4149
O -0.1339 -2.1745 5.5736
O -2.0912 3.6567 16.5583
O 3.9189 -1.8327 7.8944
O -5.6935 0.4561 8.4210
O -2.5015 7.7375 8.7947
O -1.6152 6.9508 19.3881
O -0.9216 1.1089 5.9903
O -0.7189 7.6851 11.5152
O -6.5525 2.8664 8.4717
O -2.8789 6.9401 16.9750
O -3.1255 0.3764 8.1652
O -7.0778 8.8438 15.7297
O -2.2785 3.7667 19.0996
O 1.4872 0.6828 13.1221
O 1.1122 3.4081 12.3197
O 1.8552 -2.0643 13.2860
O -3.8671 -2.3857 6.8360
O -5.1125 5.6584 17.0788
O -0.5730 3.0872 9.3006
O -1.5748 -2.6924 8.6382
O -0.3555 10.0422 17.1027
O 2.0997 -0.8927 5.4698
O -4.7886 7.7155 15.5628
O 2.1479 -6.4371 8.9905
O -4.8911 5.7012 12.4233
O 0.0606 -3.5179 10.4448
O -5.6052 -1.1203 5.3694
O -0.3354 2.4920 18.0349
O -4.5000 4.0829 9.4265
O 2.5924 5.8859 17.1791
O -1.3976 -2.1851 3.1605
O -2.6573 -5.2765 5.4458
O 4.0650 -4.0782 6.8189
O 0.2963 -0.1099 8.2308
O -0.4242 4.9949 17.8540
O -2.5886 -0.2292 4.6946
O -2.2939 -2.9195 11.0333
H -1.6700 -1.6873 13.4858
H -5.7200 3.3130 8.8909
H -0.8010 -2.2748 3.9582
H 2.7072 1.4527 13.6577
H -6.7284 9.7962 15.9026
H -2.6434 -1.6413 12.3043
H 1.8030 3.3988 11.5571
H -5.4866 10.2487 13.5547
H 1.1683 0.9982 12.2428
H -1.3428 6.4530 9.0628
H 1.5549 7.6292 19.0279
H -4.8158 1.3668 10.9915
H -4.5677 -2.8635 3.5207
H 3.7156 -5.0305 6.6459
H -3.1225 -4.5493 4.9673
H 2.5206 -6.8175 8.1606
H -4.1811 3.7675 10.3058
H 2.3994 -0.7034 3.7107
H 0.1097 9.3150 17.5813
H -5.5334 11.5832 14.3880
H -1.8694 10.1002 17.3725
H -3.0541 1.5366 14.0348
H -0.0059 1.9202 10.0532
H -0.3694 6.4070 10.2443
H -1.1434 -5.3345 5.1761
H -5.4122 5.4691 18.8379
H -2.2118 7.0405 18.5904
H 2.4738 -5.4830 8.9939
H -2.0340 -1.4974 3.4883
H -2.3602 0.7850 12.8385
H -4.6098 5.0692 9.4928
H -0.9788 6.2631 19.0603
H -0.6526 3.9807 9.7101
H 1.5970 -0.3035 13.0558
H -3.0069 2.8454 12.4954
H 0.0413 3.2291 8.5138
P -6.2652 1.6598 7.4966
P 0.5835 -0.2529 9.7152
P 1.2324 4.5532 13.3938
P -6.2219 7.9168 14.7877
P -3.5963 5.0186 12.8334
P -4.3908 7.0013 16.9635
P -1.7557 1.0635 4.7090
P 3.2091 -3.1511 7.7608
P 1.8944 7.1861 16.8206
P -1.8981 7.3680 12.4501
P 3.2524 3.1059 15.0520
P -1.1147 -2.6023 10.0985
P -4.9072 -2.4205 5.7280
P -1.2571 3.7022 17.8396
P 1.3780 -2.2356 5.5851
P -4.2452 0.2124 9.1548
Ca -1.2761 5.8130 15.5858
Ca -1.7367 -1.0473 6.9628
Ca 2.2558 -3.1509 11.1895
Ca 4.2503 -0.2779 9.5897
Ca 1.3805 1.1747 6.4418
Ca -4.3933 3.5909 16.1067
Ca -7.2631 5.0435 12.9588
Ca -5.2686 7.9166 11.3591
K -2.6189 3.0762 7.3755
K -2.7182 10.0966 14.3964
K -0.2946 -5.3310 8.1522
K -0.3939 1.6895 15.1731